A geometry-optimized K2SrMoF6 structure. Source: Alexandria, functional PBE+U.

Computed properties:
Total DFT energy (no corrections): -4.989 eV per atom
Volume: 385.3 Å³ per cell
Density: 3.24 g/cm3

abc: 6.165 9.172 6.814
angles: 90.00 90.00 90.00
Space group Pmmn (No. 59, origin choice 2)
Asymmetric unit:
1 K 0.250 0.039 0.189
2 Sr 0.250 0.250 0.711
3 Mo 0.250 0.750 0.783
4 F 0.006 0.750 0.020
5 F 0.009 0.250 0.439
6 F 0.250 0.504 0.789